[1]
CaCdSi | PBE-GGA | relaxed

Results
The crystal system is monoclinic. The calculation puts the uncorrected formation energy at -16 kJ/mol of atoms.

Lattice parameters (Å, degrees): 6.064 3.279 7.422 90.00 105.38 90.00
Space group P2/m (No. 10)
Symmetry-distinct sites (fractional):
Ca 0.080 0.000 0.259 (multiplicity 2)
Cd 0.371 0.500 0.644 (multiplicity 2)
Si 0.306 0.500 0.008 (multiplicity 2)

=====

[2]
Mg2ZnOs | PBE-GGA | relaxed

Results
The crystal system is tetragonal. As for the energy relative to the elements: 130 meV/atom.

Lattice parameters (Å, degrees): 3.901 3.901 8.377 90.00 90.00 90.00
Space group I4/mmm (No. 139)
Symmetry-distinct sites (fractional):
Mg 0.000 0.500 0.250 (multiplicity 4)
Zn 0.000 0.000 0.000 (multiplicity 2)
Os 0.000 0.000 0.500 (multiplicity 2)

=====

[3]
NaTmSnPb | PBE-GGA | relaxed

Results
The crystal system is cubic. As for the energy relative to the elements: -257 meV/atom.

Lattice parameters (Å, degrees): 7.569 7.569 7.569 90.00 90.00 90.00
Space group F-43m (No. 216)
Symmetry-distinct sites (fractional):
Na 0.000 0.000 0.000 (multiplicity 4)
Tm 0.000 0.000 0.500 (multiplicity 4)
Sn 0.250 0.250 0.750 (multiplicity 4)
Pb 0.250 0.250 0.250 (multiplicity 4)

=====

VASP energy values, unit eV per cell, following the record order: -17.687; -30.345; -58.126.
DOS at the Fermi energy values, unit states/eV/atom, following the record order: 0.35; 0.55; 0.81.